# 1
The following is a PBE-GGA calculation of an optimized crystal structure of PaTlAs2, from Alexandria.

Unit cell a=4.2268 b=4.2268 c=22.7699 alpha=90.00 beta=90.00 gamma=120.00
Space group R-3m (No. 166, hexagonal axes)
Symmetry-distinct sites (fractional):
1 Pa 0.0000 0.0000 0.0000 [3 per cell]
2 Tl 0.0000 0.0000 0.5000 [3 per cell]
3 As 0.0000 0.0000 0.2684 [6 per cell]

***

# 2
The following is a PBE-GGA calculation of an optimized crystal structure of Pa2TlAs, from Alexandria.

Unit cell a=3.448 b=3.448 c=8.105 alpha=90.00 beta=90.00 gamma=90.00
Space group P4/mmm (No. 123)
Symmetry-distinct sites (fractional):
1 Pa 0.000 0.000 0.215 [2 per cell]
2 Tl 0.500 0.500 0.500 [1 per cell]
3 As 0.500 0.500 0.000 [1 per cell]

***

# 3
The following is a PBE-GGA calculation of an optimized crystal structure of TmPaAs2, from Alexandria.

Unit cell a=5.768 b=5.768 c=11.535 alpha=90.00 beta=90.00 gamma=90.00
Space group I4_1/amd (No. 141, origin choice 2)
Symmetry-distinct sites (fractional):
1 Tm 0.000 0.250 0.375 [4 per cell]
2 Pa 0.000 0.250 0.875 [4 per cell]
3 As 0.000 0.250 0.126 [8 per cell]

***

Which formation energy belongs to each record? In order, -0.54, -0.30, -1.26 eV per atom.
Which volume belongs to each record? In order, 29.4, 24.1, 24.0 Å³/atom.
Which ΔE to the lowest computed polymorph belongs to each record? In order, 0, 0, 0 meV per atom.